Below is a geometry-optimized Cr2GaMo structure, with properties calculated at the PBE level.

Calculated values
The calculation puts the energy at -8.25 eV per atom. Its density of states at the Fermi level is 1.470 states/eV per cell. As for the total magnetization: 2.82 μB per formula unit. The calculation puts the formation energy at 0.027 eV/atom. Its crystal system is tetragonal.

Cell lengths 4.180, 4.180, 3.146 Å; angles 90.00, 90.00, 90.00 degrees
Fractional positions:
Cr: 0.000 0.500 0.000
Cr: 0.500 0.000 0.000
Ga: 0.000 0.000 0.500
Mo: 0.500 0.500 0.500

=====

Below is a geometry-optimized LaNCl2 structure, with properties calculated at the PBE level.

Calculated values
The calculation puts the energy at -4.71 eV per atom. Its density of states at the Fermi level is 2.957 states/eV per cell. As for the total magnetization: 2.00 μB per formula unit. As for the distance to the lowest polymorph of the same formula: 119.0 meV/atom. Its crystal system is tetragonal.

Cell lengths 10.031, 10.031, 10.031 Å; angles 155.15, 155.15, 35.43 degrees
Fractional positions:
La: 0.000 0.000 0.000
La: 0.750 0.250 0.500
N: 0.250 0.750 0.500
N: 0.500 0.500 0.000
Cl: 0.122 0.625 0.997
Cl: 0.375 0.372 0.497
Cl: 0.628 0.125 0.003
Cl: 0.875 0.878 0.503

=====

Below is a geometry-optimized Ce2Nd8Dy structure, with properties calculated at the PBE level.

Calculated values
The calculation puts the energy at -4.81 eV per atom. Its density of states at the Fermi level is 22.928 states/eV per cell. As for the total magnetization: 1.60 μB per formula unit. The calculation puts the formation energy at 0.155 eV/atom. Its crystal system is orthorhombic.

Cell lengths 9.495, 9.495, 9.495 Å; angles 145.40, 127.71, 64.23 degrees
Fractional positions:
Ce: 0.201 0.201 0.000
Ce: 0.799 0.799 0.000
Nd: 0.067 0.361 0.706
Nd: 0.204 0.000 0.204
Nd: 0.343 0.843 0.500
Nd: 0.345 0.639 0.706
Nd: 0.655 0.361 0.294
Nd: 0.657 0.157 0.500
Nd: 0.796 0.000 0.796
Nd: 0.933 0.639 0.294
Dy: 0.500 0.500 0.000

=====

Below is a geometry-optimized Nd5ErP6 structure, with properties calculated at the PBE level.

Calculated values
The calculation puts the energy at -6.61 eV per atom. Its density of states at the Fermi level is 0.929 states/eV per cell. As for the total magnetization: 0.00 μB per formula unit. The calculation puts the formation energy at -1.542 eV/atom. Its crystal system is monoclinic.

Cell lengths 7.165, 7.165, 7.165 Å; angles 99.61, 99.61, 119.99 degrees
Fractional positions:
Nd: 0.000 0.000 0.000
Nd: 0.166 0.834 0.500
Nd: 0.332 0.668 0.000
Nd: 0.668 0.332 0.000
Nd: 0.834 0.166 0.500
Er: 0.500 0.500 0.500
P: 0.091 0.418 0.254
P: 0.255 0.255 0.746
P: 0.418 0.091 0.254
P: 0.582 0.909 0.746
P: 0.745 0.745 0.254
P: 0.909 0.582 0.746

=====

Below is a geometry-optimized TmPtSe structure, with properties calculated at the PBE level.

Calculated values
The calculation puts the energy at -5.84 eV per atom. Its density of states at the Fermi level is 0.591 states/eV per cell. As for the total magnetization: 0.00 μB per formula unit. Its crystal system is triclinic.

Cell lengths 6.585, 7.272, 7.320 Å; angles 60.60, 64.09, 65.42 degrees
Fractional positions:
Tm: 0.000 0.000 0.000
Tm: 0.039 0.147 0.358
Tm: 0.517 0.619 0.381
Tm: 0.643 0.672 0.838
Pt: 0.429 0.001 0.021
Pt: 0.670 0.013 0.387
Pt: 0.972 0.582 0.056
Pt: 0.980 0.614 0.408
Se: 0.112 0.422 0.768
Se: 0.277 0.847 0.664
Se: 0.401 0.381 0.238
Se: 0.710 0.257 0.721

=====

Below is a geometry-optimized TaCoRe structure, with properties calculated at the PBE level.

Calculated values
The calculation puts the energy at -10.42 eV per atom. Its density of states at the Fermi level is 2.343 states/eV per cell. As for the total magnetization: 2.19 μB per formula unit. As for the distance to the lowest polymorph of the same formula: 100.5 meV/atom. The calculation puts the formation energy at 0.051 eV/atom. Its crystal system is trigonal.

Cell lengths 4.390, 4.390, 2.688 Å; angles 90.00, 90.00, 120.00 degrees
Fractional positions:
Ta: 0.000 0.000 0.000
Co: 0.333 0.667 0.329
Re: 0.667 0.333 0.652

=====

Below is a geometry-optimized TbPr4Sm6 structure, with properties calculated at the PBE level.

Calculated values
The calculation puts the energy at -4.45 eV per atom. Its density of states at the Fermi level is 15.989 states/eV per cell. As for the total magnetization: 0.00 μB per formula unit. As for the distance to the lowest polymorph of the same formula: 0.0 meV/atom. The calculation puts the formation energy at 0.280 eV/atom. Its crystal system is tetragonal.

Cell lengths 9.774, 9.774, 9.774 Å; angles 139.33, 139.33, 58.87 degrees
Fractional positions:
Tb: 0.000 0.000 0.000
Pr: 0.013 0.013 0.381
Pr: 0.367 0.987 0.000
Pr: 0.633 0.633 0.619
Pr: 0.987 0.367 0.000
Sm: 0.000 0.500 0.500
Sm: 0.204 0.554 0.000
Sm: 0.446 0.446 0.650
Sm: 0.500 0.000 0.500
Sm: 0.554 0.204 0.000
Sm: 0.796 0.796 0.350

=====

Below is a geometry-optimized KRu2Se structure, with properties calculated at the PBE level.

Calculated values
The calculation puts the energy at -5.02 eV per atom. Its density of states at the Fermi level is 4.194 states/eV per cell. As for the total magnetization: 0.00 μB per formula unit. Its crystal system is tetragonal.

Cell lengths 6.180, 6.180, 6.180 Å; angles 104.20, 104.20, 120.63 degrees
Fractional positions:
K: 0.000 0.000 0.000
K: 0.750 0.250 0.500
Ru: 0.228 0.625 0.103
Ru: 0.375 0.478 0.603
Ru: 0.522 0.125 0.897
Ru: 0.875 0.772 0.397
Se: 0.250 0.750 0.500
Se: 0.500 0.500 0.000

=====

Below is a geometry-optimized GaNiAu structure, with properties calculated at the PBE level.

Calculated values
The calculation puts the energy at -4.26 eV per atom. Its density of states at the Fermi level is 2.358 states/eV per cell. As for the total magnetization: 0.00 μB per formula unit. The calculation puts the formation energy at -0.232 eV/atom. Its crystal system is monoclinic.

Cell lengths 3.811, 3.811, 6.248 Å; angles 93.78, 93.78, 90.16 degrees
Fractional positions:
Ga: 0.223 0.223 0.249
Ga: 0.777 0.777 0.751
Ni: 0.249 0.751 0.500
Ni: 0.751 0.249 0.500
Au: 0.285 0.285 0.836
Au: 0.715 0.715 0.164

=====

Below is a geometry-optimized FeCo3N4 structure, with properties calculated at the PBE level.

Calculated values
The calculation puts the energy at -7.85 eV per atom. Its density of states at the Fermi level is 5.907 states/eV per cell. As for the total magnetization: 0.00 μB per formula unit. Its crystal system is tetragonal.

Cell lengths 5.211, 5.211, 5.211 Å; angles 131.94, 131.94, 70.32 degrees
Fractional positions:
Fe: 0.000 0.000 0.000
Co: 0.250 0.750 0.500
Co: 0.500 0.500 0.000
Co: 0.750 0.250 0.500
N: 0.123 0.631 0.000
N: 0.369 0.369 0.492
N: 0.631 0.123 0.000
N: 0.877 0.877 0.508

=====

Below is a geometry-optimized BaScZn10 structure, with properties calculated at the PBE level.

Calculated values
The calculation puts the energy at -1.91 eV per atom. Its density of states at the Fermi level is 6.278 states/eV per cell. As for the total magnetization: 0.00 μB per formula unit. The calculation puts the formation energy at -0.160 eV/atom. Its crystal system is orthorhombic.

Cell lengths 4.265, 5.469, 9.417 Å; angles 90.00, 90.00, 90.00 degrees
Fractional positions:
Ba: 0.000 0.000 0.000
Sc: 0.000 0.500 0.500
Zn: 0.000 0.000 0.349
Zn: 0.000 0.000 0.651
Zn: 0.000 0.500 0.190
Zn: 0.000 0.500 0.810
Zn: 0.500 0.000 0.500
Zn: 0.500 0.263 0.272
Zn: 0.500 0.263 0.728
Zn: 0.500 0.500 0.000
Zn: 0.500 0.737 0.272
Zn: 0.500 0.737 0.728

=====

Below is a geometry-optimized NdTi2CoN4 structure, with properties calculated at the PBE level.

Calculated values
The calculation puts the energy at -8.75 eV per atom. Its density of states at the Fermi level is 8.457 states/eV per cell. As for the total magnetization: 0.86 μB per formula unit. Its crystal system is orthorhombic.

Cell lengths 5.570, 5.570, 10.582 Å; angles 90.00, 90.00, 147.09 degrees
Fractional positions:
Nd: 0.104 0.896 0.750
Nd: 0.896 0.104 0.250
Ti: 0.367 0.633 0.548
Ti: 0.367 0.633 0.952
Ti: 0.633 0.367 0.048
Ti: 0.633 0.367 0.452
Co: 0.160 0.840 0.250
Co: 0.840 0.160 0.750
N: 0.000 0.000 0.000
N: 0.000 0.000 0.500
N: 0.267 0.733 0.109
N: 0.267 0.733 0.391
N: 0.432 0.568 0.750
N: 0.568 0.432 0.250
N: 0.733 0.267 0.609
N: 0.733 0.267 0.891